(1)
# PBE YTa2Pb, optimized geometry
data_YTa2Pb
_chemical_formula_sum 'Y2 Ta4 Pb2'
_cell_length_a 3.769
_cell_length_b 5.136
_cell_length_c 9.455
_cell_angle_alpha 90.00
_cell_angle_beta 90.00
_cell_angle_gamma 90.00
_space_group_name_H-M_alt 'C m m 2'
_space_group_IT_number 35
_space_group_name_Hall 'C 2 -2'
loop_
_atom_site_label
_atom_site_type_symbol
_atom_site_fract_x
_atom_site_fract_y
_atom_site_fract_z
_atom_site_occupancy
Y1 Y 0.000 0.000 0.000 1
Ta1 Ta 0.000 0.000 0.535 1
Ta2 Ta 0.000 0.500 0.743 1
Pb1 Pb 0.000 0.500 0.289 1
# Density: 11.94 g/cm3
# Magnetization: 0.0 μB/cell
# Energy of formation: 93 kJ/mol of formula units

---

(2)
# PBE Y2TaPb2, optimized geometry
data_Y2TaPb2
_chemical_formula_sum 'Y4 Ta2 Pb4'
_cell_length_a 7.730
_cell_length_b 7.730
_cell_length_c 4.416
_cell_angle_alpha 90.00
_cell_angle_beta 90.00
_cell_angle_gamma 90.00
_space_group_name_H-M_alt 'P 4/m b m'
_space_group_IT_number 127
_space_group_name_Hall '-P 4 2ab'
loop_
_atom_site_label
_atom_site_type_symbol
_atom_site_fract_x
_atom_site_fract_y
_atom_site_fract_z
_atom_site_occupancy
Y1 Y 0.169 0.331 0.000 1
Ta1 Ta 0.000 0.000 0.500 1
Pb1 Pb 0.142 0.642 0.500 1
# Density: 9.73 g/cm3
# Magnetization: 1.5 μB/cell
# Energy of formation: -27 kJ/mol of formula units

---

(3)
# PBE YTa2Pb, optimized geometry
data_YTa2Pb
_chemical_formula_sum 'Y2 Ta4 Pb2'
_cell_length_a 4.251
_cell_length_b 4.251
_cell_length_c 9.892
_cell_angle_alpha 90.00
_cell_angle_beta 90.00
_cell_angle_gamma 90.00
_space_group_name_H-M_alt 'I 4/m m m'
_space_group_IT_number 139
_space_group_name_Hall '-I 4 2'
loop_
_atom_site_label
_atom_site_type_symbol
_atom_site_fract_x
_atom_site_fract_y
_atom_site_fract_z
_atom_site_occupancy
Y1 Y 0.000 0.000 0.000 1
Ta1 Ta 0.000 0.500 0.250 1
Pb1 Pb 0.000 0.000 0.500 1
# Density: 12.22 g/cm3
# Magnetization: 0.0 μB/cell
# Energy of formation: 136 kJ/mol of formula units

---

(4)
# PBE YTa2Pb, optimized geometry
data_YTa2Pb
_chemical_formula_sum 'Y2 Ta4 Pb2'
_cell_length_a 9.558
_cell_length_b 3.213
_cell_length_c 6.143
_cell_angle_alpha 90.00
_cell_angle_beta 97.21
_cell_angle_gamma 90.00
_space_group_name_H-M_alt 'C 1 m 1'
_space_group_IT_number 8
_space_group_name_Hall 'C -2y'
loop_
_atom_site_label
_atom_site_type_symbol
_atom_site_fract_x
_atom_site_fract_y
_atom_site_fract_z
_atom_site_occupancy
Y1 Y 0.000 0.000 0.000 1
Ta1 Ta 0.007 0.500 0.456 1
Ta2 Ta 0.268 0.500 0.286 1
Pb1 Pb 0.248 0.000 0.716 1
# Density: 11.67 g/cm3
# Magnetization: 0.0 μB/cell
# Energy of formation: 145 kJ/mol of formula units

---

(5)
# PBE YTa2Pb, optimized geometry
data_YTa2Pb
_chemical_formula_sum 'Y3 Ta6 Pb3'
_cell_length_a 3.3521
_cell_length_b 3.3521
_cell_length_c 29.1434
_cell_angle_alpha 90.00
_cell_angle_beta 90.00
_cell_angle_gamma 120.00
_space_group_name_H-M_alt 'R 3 m'
_space_group_IT_number 160
_space_group_name_Hall 'R 3 -2"'
loop_
_atom_site_label
_atom_site_type_symbol
_atom_site_fract_x
_atom_site_fract_y
_atom_site_fract_z
_atom_site_occupancy
Y1 Y 0.0000 0.0000 0.0000 1
Ta1 Ta 0.0000 0.0000 0.4857 1
Ta2 Ta 0.0000 0.0000 0.7532 1
Pb1 Pb 0.0000 0.0000 0.2369 1
# Density: 11.56 g/cm3
# Magnetization: 0.0 μB/cell
# Energy of formation: 124 kJ/mol of formula units

---

(6)
# PBE YTa2Pb, optimized geometry
data_YTa2Pb
_chemical_formula_sum 'Y2 Ta4 Pb2'
_cell_length_a 10.767
_cell_length_b 3.170
_cell_length_c 5.357
_cell_angle_alpha 90.00
_cell_angle_beta 102.45
_cell_angle_gamma 90.00
_space_group_name_H-M_alt 'C 1 2/m 1'
_space_group_IT_number 12
_space_group_name_Hall '-C 2y'
loop_
_atom_site_label
_atom_site_type_symbol
_atom_site_fract_x
_atom_site_fract_y
_atom_site_fract_z
_atom_site_occupancy
Y1 Y 0.000 0.000 0.000 1
Ta1 Ta 0.241 0.000 0.730 1
Pb1 Pb 0.000 0.500 0.500 1
# Density: 12.24 g/cm3
# Magnetization: 0.0 μB/cell
# Energy of formation: 147 kJ/mol of formula units

---

(7)
# PBE YTaPb3, optimized geometry
data_YTaPb3
_chemical_formula_sum 'Y1 Ta1 Pb3'
_cell_length_a 5.475
_cell_length_b 5.475
_cell_length_c 5.475
_cell_angle_alpha 90.00
_cell_angle_beta 90.00
_cell_angle_gamma 90.00
_space_group_name_H-M_alt 'P m -3 m'
_space_group_IT_number 221
_space_group_name_Hall '-P 4 2 3'
loop_
_atom_site_label
_atom_site_type_symbol
_atom_site_fract_x
_atom_site_fract_y
_atom_site_fract_z
_atom_site_occupancy
Y1 Y 0.000 0.000 0.000 1
Ta1 Ta 0.500 0.500 0.500 1
Pb1 Pb 0.000 0.500 0.500 1
# Energy relative to the lowest polymorph listed for this composition: 0.0 meV/atom
# Density: 9.02 g/cm3
# Magnetization: 0.0 μB/cell
# Energy of formation: 247 kJ/mol of formula units

---

(8)
# PBE Y4TaPb, optimized geometry
data_Y4TaPb
_chemical_formula_sum 'Y16 Ta4 Pb4'
_cell_length_a 8.740
_cell_length_b 8.740
_cell_length_c 8.740
_cell_angle_alpha 90.00
_cell_angle_beta 90.00
_cell_angle_gamma 90.00
_space_group_name_H-M_alt 'F -4 3 m'
_space_group_IT_number 216
_space_group_name_Hall 'F -4 2 3'
loop_
_atom_site_label
_atom_site_type_symbol
_atom_site_fract_x
_atom_site_fract_y
_atom_site_fract_z
_atom_site_occupancy
Y1 Y 0.123 0.123 0.377 1
Ta1 Ta 0.250 0.250 0.750 1
Pb1 Pb 0.000 0.000 0.000 1
# Density: 7.40 g/cm3
# Magnetization: 0.0 μB/cell
# Energy of formation: 356 kJ/mol of formula units

---

(9)
# PBE YTa2Pb, optimized geometry
data_YTa2Pb
_chemical_formula_sum 'Y1 Ta2 Pb1'
_cell_length_a 3.152
_cell_length_b 5.296
_cell_length_c 5.462
_cell_angle_alpha 90.00
_cell_angle_beta 92.82
_cell_angle_gamma 90.00
_space_group_name_H-M_alt 'P 1 2/m 1'
_space_group_IT_number 10
_space_group_name_Hall '-P 2y'
loop_
_atom_site_label
_atom_site_type_symbol
_atom_site_fract_x
_atom_site_fract_y
_atom_site_fract_z
_atom_site_occupancy
Y1 Y 0.000 0.000 0.000 1
Ta1 Ta 0.361 0.500 0.765 1
Pb1 Pb 0.500 0.000 0.500 1
# Density: 12.00 g/cm3
# Magnetization: 0.0 μB/cell
# Energy of formation: 142 kJ/mol of formula units

---

(10)
# PBE YTa2Pb, optimized geometry
data_YTa2Pb
_chemical_formula_sum 'Y2 Ta4 Pb2'
_cell_length_a 6.106
_cell_length_b 9.471
_cell_length_c 3.089
_cell_angle_alpha 90.00
_cell_angle_beta 90.00
_cell_angle_gamma 90.00
_space_group_name_H-M_alt 'C m m m'
_space_group_IT_number 65
_space_group_name_Hall '-C 2 2'
loop_
_atom_site_label
_atom_site_type_symbol
_atom_site_fract_x
_atom_site_fract_y
_atom_site_fract_z
_atom_site_occupancy
Y1 Y 0.000 0.000 0.000 1
Ta1 Ta 0.250 0.250 0.500 1
Pb1 Pb 0.000 0.500 0.000 1
# Density: 12.23 g/cm3
# Magnetization: 0.0 μB/cell
# Energy of formation: 199 kJ/mol of formula units

---

(11)
# PBE YTa2Pb, optimized geometry
data_YTa2Pb
_chemical_formula_sum 'Y2 Ta4 Pb2'
_cell_length_a 3.759
_cell_length_b 4.995
_cell_length_c 9.609
_cell_angle_alpha 90.00
_cell_angle_beta 90.00
_cell_angle_gamma 90.00
_space_group_name_H-M_alt 'I m m 2'
_space_group_IT_number 44
_space_group_name_Hall 'I 2 -2'
loop_
_atom_site_label
_atom_site_type_symbol
_atom_site_fract_x
_atom_site_fract_y
_atom_site_fract_z
_atom_site_occupancy
Y1 Y 0.000 0.000 0.000 1
Ta1 Ta 0.000 0.000 0.536 1
Ta2 Ta 0.000 0.500 0.243 1
Pb1 Pb 0.000 0.500 0.773 1
# Density: 12.11 g/cm3
# Magnetization: 0.0 μB/cell
# Energy of formation: 136 kJ/mol of formula units

---

(12)
# PBE YTa2Pb, optimized geometry
data_YTa2Pb
_chemical_formula_sum 'Y1 Ta2 Pb1'
_cell_length_a 3.722
_cell_length_b 3.722
_cell_length_c 6.624
_cell_angle_alpha 90.00
_cell_angle_beta 90.00
_cell_angle_gamma 90.00
_space_group_name_H-M_alt 'P 4/m m m'
_space_group_IT_number 123
_space_group_name_Hall '-P 4 2'
loop_
_atom_site_label
_atom_site_type_symbol
_atom_site_fract_x
_atom_site_fract_y
_atom_site_fract_z
_atom_site_occupancy
Y1 Y 0.000 0.000 0.000 1
Ta1 Ta 0.500 0.500 0.298 1
Pb1 Pb 0.000 0.000 0.500 1
# Density: 11.90 g/cm3
# Magnetization: 0.0 μB/cell
# Energy of formation: 175 kJ/mol of formula units